! ScMn2P (PBEsol, optimized geometry); values from VASP
! Calculated total energy, eV/atom: -8.282
! Space-group type: C2/m (12)
&SYSTEM
  ibrav = 0, nat = 4, ntyp = 3
/
ATOMIC_SPECIES
Sc 44.96 Sc.upf
Mn 54.94 Mn.upf
P 30.97 P.upf
CELL_PARAMETERS angstrom
2.9961 0.0000 0.0000
-1.4980 4.0174 0.0006
0.0000 -1.1321 4.3286
ATOMIC_POSITIONS angstrom
Sc 0.0000 -0.5660 2.1643
Mn 1.4980 1.2606 3.5579
Mn 0.0000 1.6247 0.7713
P 1.4980 0.0000 0.0000

=====

! Sc2Mn2P (PBEsol, optimized geometry); values from VASP
! Calculated total energy, eV/atom: -6.987
! Space-group type: I4/mmm (139)
&SYSTEM
  ibrav = 0, nat = 5, ntyp = 3
/
ATOMIC_SPECIES
Mn 54.94 Mn.upf
Sc 44.96 Sc.upf
P 30.97 P.upf
CELL_PARAMETERS angstrom
3.9874 0.0000 0.0000
0.0000 3.9874 0.0000
-1.9937 -1.9937 5.4737
ATOMIC_POSITIONS angstrom
Mn 0.0000 0.0000 4.4559
Mn 1.9937 1.9937 1.0178
Sc 0.0000 1.9937 2.7368
Sc 1.9937 0.0000 2.7368
P 0.0000 0.0000 0.0000

=====

! ScMnP2 (PBEsol, optimized geometry); values from VASP
! Relative energy among the computed polymorphs, eV/atom: 0.000
! Space-group type: Imm2 (44)
&SYSTEM
  ibrav = 0, nat = 4, ntyp = 3
/
ATOMIC_SPECIES
Sc 44.96 Sc.upf
Mn 54.94 Mn.upf
P 30.97 P.upf
CELL_PARAMETERS angstrom
2.8841 0.0000 0.0000
0.0000 3.3274 0.0000
-1.4420 -1.6637 5.9300
ATOMIC_POSITIONS angstrom
Sc 1.4420 1.6637 0.6097
Mn 0.0000 1.6637 3.4675
P 1.4420 0.0000 2.5899
P 1.4420 1.6637 5.1929

=====

! ScMnP2 (PBEsol, optimized geometry); values from VASP
! Relative energy among the computed polymorphs, eV/atom: 0.275
! Space-group type: P4/mmm (123)
&SYSTEM
  ibrav = 0, nat = 4, ntyp = 3
/
ATOMIC_SPECIES
Sc 44.96 Sc.upf
P 30.97 P.upf
Mn 54.94 Mn.upf
CELL_PARAMETERS angstrom
3.3240 0.0000 0.0000
0.0000 4.1563 0.0000
0.0000 0.0000 4.1563
ATOMIC_POSITIONS angstrom
Sc 1.6620 2.0781 2.0781
P 0.0000 2.0781 0.0000
P 0.0000 0.0000 2.0781
Mn 1.6620 0.0000 0.0000